[1]
Density functional theory data (PBE) for a relaxed CaNb3Cu crystal.

For the energy above the most stable polymorph in this dataset, the calculation gives 1.350 eV/atom. For the formation energy, the calculation gives 2.40 eV/atom.

Unit cell a=4.704 b=4.704 c=4.704 alpha=90.00 beta=90.00 gamma=90.00
Atoms (fractional coordinates):
Cu: 0.500 0.500 0.500
Nb: 0.000 0.500 0.000
Nb: 0.000 0.000 0.500
Nb: 0.500 0.000 0.000
Ca: 0.000 0.000 0.000

---

[2]
Density functional theory data (PBE) for a relaxed Ca3NbCu crystal.

For the energy above the most stable polymorph in this dataset, the calculation gives 0.000 eV/atom. For the formation energy, the calculation gives 0.68 eV/atom.

Unit cell a=5.456 b=5.456 c=5.456 alpha=90.00 beta=90.00 gamma=90.00
Last column: magnetic moment on the atom in μB.
Atoms (fractional coordinates):
Cu: 0.000 0.000 0.000  0.02
Ca: 0.000 0.000 0.500  0.03
Ca: 0.500 0.000 0.000  0.01
Ca: 0.000 0.500 0.000  0.00
Nb: 0.500 0.500 0.500  2.71

---

[3]
Density functional theory data (PBE) for a relaxed CaNb3Cu crystal.

For the energy above the most stable polymorph in this dataset, the calculation gives 0.000 eV/atom. For the formation energy, the calculation gives 1.05 eV/atom.

Unit cell a=4.824 b=4.824 c=4.824 alpha=90.00 beta=90.00 gamma=90.00
Atoms (fractional coordinates):
Nb: 0.000 0.500 0.000
Nb: 0.000 0.000 0.500
Nb: 0.500 0.000 0.000
Cu: 0.000 0.000 0.000
Ca: 0.500 0.500 0.500

---

[4]
Density functional theory data (PBE) for a relaxed Ca2NbCu2 crystal.

For the formation energy, the calculation gives 0.25 eV/atom.

Unit cell a=6.771 b=6.771 c=4.723 alpha=90.00 beta=90.00 gamma=90.00
Atoms (fractional coordinates):
Cu: 0.630 0.130 0.000
Cu: 0.370 0.870 0.000
Cu: 0.130 0.370 0.000
Cu: 0.870 0.630 0.000
Ca: 0.323 0.177 0.500
Ca: 0.823 0.323 0.500
Ca: 0.177 0.677 0.500
Ca: 0.677 0.823 0.500
Nb: 0.000 0.000 0.000
Nb: 0.500 0.500 0.000

---

[5]
Density functional theory data (PBE) for a relaxed Ca3NbCu crystal.

For the energy above the most stable polymorph in this dataset, the calculation gives 0.442 eV/atom. For the formation energy, the calculation gives 1.12 eV/atom.

Unit cell a=5.497 b=5.497 c=5.497 alpha=90.00 beta=90.00 gamma=90.00
Atoms (fractional coordinates):
Ca: 0.000 0.000 0.500
Ca: 0.500 0.000 0.000
Ca: 0.000 0.500 0.000
Cu: 0.500 0.500 0.500
Nb: 0.000 0.000 0.000

---

[6]
Density functional theory data (PBE) for a relaxed Ca2Nb2CuO8 crystal.

The raw formation energy comes out at -2.4015 eV/atom.

Unit cell a=10.158 b=10.158 c=5.488 alpha=86.51 beta=86.51 gamma=39.41
Last column: magnetic moment on the atom in μB.
Atoms (fractional coordinates):
O: 0.468 0.159 0.826  0.01
O: 0.127 0.253 0.011  0.02
O: 0.217 0.670 0.043  0.07
O: 0.747 0.873 0.489  0.02
O: 0.159 0.468 0.326  0.01
O: 0.330 0.783 0.457  0.07
O: 0.781 0.053 0.083  0.07
O: 0.053 0.781 0.583  0.07
O: 0.219 0.947 0.917  0.07
O: 0.532 0.841 0.174  0.01
O: 0.670 0.217 0.543  0.07
O: 0.783 0.330 0.957  0.07
O: 0.253 0.127 0.511  0.02
O: 0.947 0.219 0.417  0.07
O: 0.841 0.532 0.674  0.01
O: 0.873 0.747 0.989  0.02
Ca: 0.125 0.466 0.745  0.00
Ca: 0.466 0.125 0.245  0.00
Ca: 0.534 0.875 0.755  0.00
Ca: 0.875 0.534 0.255  0.00
Nb: 0.260 0.982 0.256  0.03
Nb: 0.740 0.018 0.744  0.03
Nb: 0.982 0.260 0.756  0.03
Nb: 0.018 0.740 0.244  0.03
Cu: 0.232 0.768 0.750  0.57
Cu: 0.768 0.232 0.250  0.57

---

[7]
Density functional theory data (PBE) for a relaxed CaNbCu2Pd crystal.

For the formation energy, the calculation gives 0.91 eV/atom.

Unit cell a=4.797 b=4.925 c=4.797 alpha=90.00 beta=90.00 gamma=90.00
Last column: magnetic moment on the atom in μB.
Atoms (fractional coordinates):
Nb: 0.500 0.500 0.500  2.61
Ca: 0.000 0.500 0.000  0.06
Cu: 0.000 0.000 0.500  -0.01
Cu: 0.500 0.000 0.000  0.03
Pd: 0.000 0.000 0.000  0.09

---

[8]
Density functional theory data (PBE) for a relaxed CaNb2CuSn crystal.

For the formation energy, the calculation gives 1.11 eV/atom.

Unit cell a=5.263 b=4.786 c=5.263 alpha=90.00 beta=90.00 gamma=90.00
Last column: magnetic moment on the atom in μB.
Atoms (fractional coordinates):
Nb: 0.000 0.000 0.500  1.09
Nb: 0.500 0.000 0.000  0.87
Sn: 0.000 0.000 0.000  0.01
Ca: 0.500 0.500 0.500  0.07
Cu: 0.000 0.500 0.000  0.03

---

[9]
Density functional theory data (PBE) for a relaxed CaNb2CuTe crystal.

For the energy above the most stable polymorph in this dataset, the calculation gives 0.693 eV/atom. The raw formation energy comes out at 1.8709 eV/atom.

Unit cell a=5.000 b=4.645 c=5.000 alpha=90.00 beta=90.00 gamma=90.00
Atoms (fractional coordinates):
Ca: 0.000 0.000 0.000
Nb: 0.000 0.000 0.500
Nb: 0.500 0.000 0.000
Cu: 0.000 0.500 0.000
Te: 0.500 0.500 0.500

---

[10]
Density functional theory data (PBE) for a relaxed CaNb2CuTe crystal.

For the energy above the most stable polymorph in this dataset, the calculation gives 0.000 eV/atom. The raw formation energy comes out at 1.1778 eV/atom.

Unit cell a=5.098 b=5.650 c=5.098 alpha=90.00 beta=90.00 gamma=90.00
Last column: magnetic moment on the atom in μB.
Atoms (fractional coordinates):
Ca: 0.000 0.500 0.000  0.01
Nb: 0.000 0.000 0.500  0.54
Nb: 0.500 0.000 0.000  0.66
Cu: 0.500 0.500 0.500  0.03
Te: 0.000 0.000 0.000  -0.02

---

[11]
Density functional theory data (PBE) for a relaxed CaNdCu crystal.

For the energy above the most stable polymorph in this dataset, the calculation gives 0.058 eV/atom. For the formation energy, the calculation gives -0.04 eV/atom.

Unit cell a=3.601 b=3.601 c=7.016 alpha=104.87 beta=104.87 gamma=90.00
Atoms (fractional coordinates):
Cu: 0.672 0.672 0.344
Ca: 0.031 0.031 0.062
Nd: 0.297 0.297 0.594

---

[12]
Density functional theory data (PBE) for a relaxed CaNdCu10 crystal.

For the formation energy, the calculation gives -0.14 eV/atom.

Unit cell a=4.068 b=5.143 c=8.842 alpha=90.00 beta=90.00 gamma=90.00
Atoms (fractional coordinates):
Cu: 0.500 0.251 0.749
Cu: 0.000 0.500 0.164
Cu: 0.000 0.500 0.836
Cu: 0.500 0.500 0.000
Cu: 0.500 0.749 0.749
Cu: 0.500 0.251 0.251
Cu: 0.500 0.000 0.500
Cu: 0.000 0.000 0.332
Cu: 0.500 0.749 0.251
Cu: 0.000 0.000 0.668
Ca: 0.000 0.000 0.000
Nd: 0.000 0.500 0.500

---

| no. | electronic total energy (eV per atom) |
| --- | --- |
| 1 | -4.86 |
| 2 | -3.36 |
| 3 | -6.21 |
| 4 | -4.20 |
| 5 | -2.92 |
| 6 | -7.62 |
| 7 | -4.18 |
| 8 | -4.94 |
| 9 | -4.00 |
| 10 | -4.70 |
| 11 | -3.67 |
| 12 | -4.12 |